{"formula": "Ac2Ge3", "functional": "GGA-PBE", "state": "optimized geometry", "cell": [[9.227, 0.000, 0.000], [-3.076, 8.699, 0.000], [-3.076, -4.350, 7.534]], "species": ["Ac", "Ac", "Ge", "Ge", "Ge", "Ge", "Ac", "Ge", "Ge", "Ge", "Ac", "Ac", "Ge", "Ge", "Ge", "Ac", "Ac", "Ac", "Ge", "Ge"], "fractional_positions": [[0.500, 0.587, 0.500], [0.413, 0.913, 0.913], [0.250, 0.261, 0.511], [0.489, 0.250, 0.239], [0.750, 0.011, 0.761], [0.739, 0.989, 0.250], [0.913, 0.413, 0.413], [0.261, 0.250, 0.011], [0.250, 0.489, 0.739], [0.511, 0.761, 0.250], [0.587, 0.500, 0.000], [0.087, 0.500, 0.000], [0.761, 0.511, 0.750], [0.239, 0.750, 0.489], [0.011, 0.750, 0.261], [0.000, 0.000, 0.087], [0.000, 0.000, 0.587], [0.500, 0.087, 0.500], [0.989, 0.739, 0.750], [0.750, 0.239, 0.989]], "vol_a3_per_atom": 30.2, "relative_energy_mev_per_atom": 99.0, "n_ef_per_ev_atom": 0.664, "sg": "I-43d (220)", "rho_g_cm3": 7.4}

=====

{"formula": "Sr2PH2", "functional": "GGA-PBE", "state": "optimized geometry", "cell": [[-2.514, 0.108, -2.878], [0.854, -3.621, -0.882], [-5.726, -3.933, 2.315]], "species": ["H", "Sr", "Sr", "H", "P"], "fractional_positions": [[0.750, 0.250, 0.500], [0.641, 0.641, 0.718], [0.359, 0.359, 0.282], [0.250, 0.750, 0.500], [0.000, 0.000, 0.000]], "vol_a3_per_atom": 19.9, "n_ef_per_ev_atom": 0.208, "sg": "I4/mmm (139)", "rho_g_cm3": 3.5}

=====

{"formula": "Pm2SiBr", "functional": "GGA-PBE", "state": "optimized geometry", "cell": [[-1.394, 0.303, -3.934], [2.571, -0.816, -3.200], [-1.696, -7.456, -2.198]], "species": ["Pm", "Si", "Br", "Pm"], "fractional_positions": [[0.265, 0.265, 0.204], [0.668, 0.668, 0.996], [0.498, 0.498, 0.507], [0.069, 0.069, 0.793]], "vol_a3_per_atom": 28.7, "relative_energy_mev_per_atom": 37.8, "n_ef_per_ev_atom": 0.647, "sg": "R3m (160)", "raw_formation_energy_ev_per_atom": -1.040, "rho_g_cm3": 5.7}

=====

Record order is preserved below.
Total energy: -4.954; -3.719; -5.189 eV per atom